VASP calculation (PBE) on a relaxed ErLuSc4 crystal.

```
ErLuSc4
1.0
-6.123 0.670 0.638
-2.908 -2.562 4.830
-2.269 3.589 4.507
Sc Lu Er
4 1 1
direct
0.625 0.625 0.125 Sc
0.625 0.125 0.625 Sc
0.625 0.625 0.625 Sc
0.125 0.625 0.625 Sc
0.000 0.000 0.000 Lu
0.250 0.250 0.250 Er
```

Formation energy, eV per atom: 0.22
E, eV per atom: -5.512

***

VASP calculation (PBE) on a relaxed Er2LuSc crystal.

```
Er2LuSc
1.0
-1.853 -2.485 1.535
-0.096 -1.766 -2.973
8.091 -4.531 2.430
Sc Lu Er
1 1 2
direct
0.500 0.500 0.000 Sc
0.500 0.500 0.500 Lu
0.000 0.000 0.758 Er
0.000 0.000 0.242 Er
```

Formation energy, eV per atom: 0.04
Energy above the lowest structure with this stoichiometry, meV/atom: 0
E, eV per atom: -4.952

***

VASP calculation (PBE) on a relaxed Er2LuSc crystal.

```
Er2LuSc
1.0
4.839 0.000 0.000
0.000 4.868 0.000
0.000 0.000 4.868
Sc Lu Er
1 1 2
direct
0.500 0.000 0.000 Sc
0.500 0.500 0.500 Lu
0.000 0.000 0.500 Er
0.000 0.500 0.000 Er
```

Formation energy, eV per atom: 0.05
Energy above the lowest structure with this stoichiometry, meV/atom: 4
E, eV per atom: -4.949

***

VASP calculation (PBE) on a relaxed ErLuSc2 crystal.

```
ErLuSc2
1.0
3.393 0.000 0.000
0.000 3.393 0.000
0.000 0.000 9.406
Sc Lu Er
2 1 1
direct
0.000 0.000 0.751 Sc
0.000 0.000 0.249 Sc
0.500 0.500 0.000 Lu
0.500 0.500 0.500 Er
```

Formation energy, eV per atom: 0.05
Energy above the lowest structure with this stoichiometry, meV/atom: 0
E, eV per atom: -5.385